Pr2HgPt3 | PBE | relaxed

Cell and atoms, written as CIF:
```
data_Pr2HgPt3
_cell_length_a 6.117
_cell_length_b 6.117
_cell_length_c 8.629
_cell_angle_alpha 105.44
_cell_angle_beta 105.44
_cell_angle_gamma 104.42
_space_group_name_H-M_alt 'P 1'
_space_group_IT_number 1
loop_
_space_group_symop_operation_xyz
'x,y,z'
loop_
_atom_site_label
_atom_site_fract_x
_atom_site_fract_y
_atom_site_fract_z
_atom_site_occupancy
Pr1 0.756 0.756 0.000 1
Pr2 0.250 0.750 0.500 1
Pr3 0.750 0.250 0.500 1
Pr4 0.244 0.244 0.000 1
Pt1 0.838 0.334 0.172 1
Pt2 0.158 0.158 0.316 1
Pt3 0.162 0.666 0.828 1
Pt4 0.666 0.162 0.828 1
Pt5 0.842 0.842 0.684 1
Pt6 0.334 0.838 0.172 1
Hg1 0.333 0.333 0.667 1
Hg2 0.667 0.667 0.333 1
```

Formation enthalpy at 0 K in eV per atom: -0.794
V in Å³/f.u.: 141


Pr6HgPt2 | PBE | relaxed

Cell and atoms, written as CIF:
```
data_Pr6HgPt2
_cell_length_a 5.059
_cell_length_b 6.066
_cell_length_c 9.493
_cell_angle_alpha 78.35
_cell_angle_beta 90.00
_cell_angle_gamma 114.64
_space_group_name_H-M_alt 'P 1'
_space_group_IT_number 1
loop_
_space_group_symop_operation_xyz
'x,y,z'
loop_
_atom_site_label
_atom_site_fract_x
_atom_site_fract_y
_atom_site_fract_z
_atom_site_occupancy
Pr1 0.968 0.937 0.843 1
Pr2 0.032 0.063 0.157 1
Pr3 0.286 0.571 0.827 1
Pr4 0.661 0.321 0.597 1
Pr5 0.339 0.679 0.403 1
Pr6 0.714 0.429 0.173 1
Pt1 0.378 0.756 0.095 1
Pt2 0.622 0.244 0.905 1
Hg1 0.000 0.000 0.500 1
```

Formation enthalpy at 0 K in eV per atom: -0.529
Distance to the lowest polymorph of the same formula in meV/atom: 88
V in Å³/f.u.: 258


Pr4Hg3Pt | PBE | relaxed

Cell and atoms, written as CIF:
```
data_Pr4Hg3Pt
_cell_length_a 3.792
_cell_length_b 3.792
_cell_length_c 15.370
_cell_angle_alpha 90.00
_cell_angle_beta 90.00
_cell_angle_gamma 90.00
_space_group_name_H-M_alt 'P 1'
_space_group_IT_number 1
loop_
_space_group_symop_operation_xyz
'x,y,z'
loop_
_atom_site_label
_atom_site_fract_x
_atom_site_fract_y
_atom_site_fract_z
_atom_site_occupancy
Pr1 0.000 0.000 0.890 1
Pr2 0.000 0.000 0.630 1
Pr3 0.000 0.000 0.110 1
Pr4 0.000 0.000 0.370 1
Pt1 0.500 0.500 0.000 1
Hg1 0.500 0.500 0.755 1
Hg2 0.500 0.500 0.245 1
Hg3 0.500 0.500 0.500 1
```

Formation enthalpy at 0 K in eV per atom: -0.609
V in Å³/f.u.: 221


Pr12Hg5Pt2 | PBE | relaxed

Cell and atoms, written as CIF:
```
data_Pr12Hg5Pt2
_cell_length_a 8.020
_cell_length_b 9.422
_cell_length_c 9.318
_cell_angle_alpha 106.20
_cell_angle_beta 90.00
_cell_angle_gamma 115.19
_space_group_name_H-M_alt 'P 1'
_space_group_IT_number 1
loop_
_space_group_symop_operation_xyz
'x,y,z'
loop_
_atom_site_label
_atom_site_fract_x
_atom_site_fract_y
_atom_site_fract_z
_atom_site_occupancy
Pr1 0.578 0.755 0.444 1
Pr2 0.822 0.245 0.556 1
Pr3 0.570 0.651 0.821 1
Pr4 0.920 0.349 0.179 1
Pr5 0.430 0.349 0.179 1
Pr6 0.178 0.755 0.444 1
Pr7 0.098 0.196 0.839 1
Pr8 0.080 0.651 0.821 1
Pr9 0.902 0.804 0.161 1
Pr10 0.422 0.245 0.556 1
Pr11 0.485 0.969 0.180 1
Pr12 0.515 0.031 0.820 1
Hg1 0.705 0.410 0.905 1
Hg2 0.768 0.535 0.474 1
Hg3 0.232 0.465 0.526 1
Hg4 0.295 0.590 0.095 1
Hg5 0.000 0.000 0.500 1
Pt1 0.197 0.000 0.000 1
Pt2 0.803 0.000 0.000 1
```

Formation enthalpy at 0 K in eV per atom: -0.361
V in Å³/f.u.: 606


PrHgPt | PBE | relaxed

Cell and atoms, written as CIF:
```
data_PrHgPt
_cell_length_a 4.157
_cell_length_b 7.007
_cell_length_c 5.684
_cell_angle_alpha 74.55
_cell_angle_beta 68.55
_cell_angle_gamma 72.74
_space_group_name_H-M_alt 'P 1'
_space_group_IT_number 1
loop_
_space_group_symop_operation_xyz
'x,y,z'
loop_
_atom_site_label
_atom_site_fract_x
_atom_site_fract_y
_atom_site_fract_z
_atom_site_occupancy
Pr1 0.440 0.317 0.804 1
Pr2 0.560 0.683 0.196 1
Hg1 0.832 0.073 0.262 1
Hg2 0.168 0.927 0.738 1
Pt1 0.145 0.342 0.368 1
Pt2 0.855 0.658 0.632 1
```

Formation enthalpy at 0 K in eV per atom: -0.793
V in Å³/f.u.: 72


Pr3Hg5Pt2 | PBE | relaxed

Cell and atoms, written as CIF:
```
data_Pr3Hg5Pt2
_cell_length_a 6.442
_cell_length_b 9.525
_cell_length_c 9.525
_cell_angle_alpha 86.97
_cell_angle_beta 70.23
_cell_angle_gamma 70.23
_space_group_name_H-M_alt 'P 1'
_space_group_IT_number 1
loop_
_space_group_symop_operation_xyz
'x,y,z'
loop_
_atom_site_label
_atom_site_fract_x
_atom_site_fract_y
_atom_site_fract_z
_atom_site_occupancy
Hg1 0.623 0.226 0.528 1
Hg2 0.496 0.254 0.254 1
Hg3 0.996 0.254 0.254 1
Hg4 0.750 0.500 0.500 1
Hg5 0.250 0.500 0.500 1
Hg6 0.123 0.528 0.226 1
Hg7 0.504 0.746 0.746 1
Hg8 0.377 0.774 0.472 1
Hg9 0.004 0.746 0.746 1
Hg10 0.877 0.472 0.774 1
Pr1 0.250 0.000 0.000 1
Pr2 0.630 0.606 0.133 1
Pr3 0.870 0.867 0.394 1
Pr4 0.130 0.133 0.606 1
Pr5 0.370 0.394 0.867 1
Pr6 0.750 0.000 0.000 1
Pt1 0.130 0.727 0.012 1
Pt2 0.630 0.012 0.727 1
Pt3 0.870 0.273 0.988 1
Pt4 0.370 0.988 0.273 1
```

Formation enthalpy at 0 K in eV per atom: -0.409
V in Å³/f.u.: 258


Pr8Hg2Pt3 | PBE | relaxed

Cell and atoms, written as CIF:
```
data_Pr8Hg2Pt3
_cell_length_a 5.129
_cell_length_b 10.474
_cell_length_c 9.107
_cell_angle_alpha 124.81
_cell_angle_beta 90.00
_cell_angle_gamma 90.00
_space_group_name_H-M_alt 'P 1'
_space_group_IT_number 1
loop_
_space_group_symop_operation_xyz
'x,y,z'
loop_
_atom_site_label
_atom_site_fract_x
_atom_site_fract_y
_atom_site_fract_z
_atom_site_occupancy
Pr1 0.000 0.619 0.236 1
Pr2 0.500 0.363 0.234 1
Pr3 0.000 0.381 0.764 1
Pr4 0.500 0.125 0.766 1
Pr5 0.500 0.637 0.766 1
Pr6 0.000 0.882 0.769 1
Pr7 0.500 0.875 0.234 1
Pr8 0.000 0.118 0.231 1
Pt1 0.000 0.732 0.998 1
Pt2 0.000 0.268 0.002 1
Pt3 0.500 0.000 0.000 1
Hg1 0.500 0.257 0.514 1
Hg2 0.500 0.743 0.486 1
```

Formation enthalpy at 0 K in eV per atom: -0.546
V in Å³/f.u.: 402


Pr6Hg2Pt | PBE | relaxed

Cell and atoms, written as CIF:
```
data_Pr6Hg2Pt
_cell_length_a 6.465
_cell_length_b 8.241
_cell_length_c 10.829
_cell_angle_alpha 90.00
_cell_angle_beta 92.21
_cell_angle_gamma 90.00
_space_group_name_H-M_alt 'P 1'
_space_group_IT_number 1
loop_
_space_group_symop_operation_xyz
'x,y,z'
loop_
_atom_site_label
_atom_site_fract_x
_atom_site_fract_y
_atom_site_fract_z
_atom_site_occupancy
Pt1 0.000 0.000 0.500 1
Pt2 0.500 0.500 0.000 1
Pr1 0.130 0.032 0.756 1
Pr2 0.359 0.800 0.452 1
Pr3 0.354 0.840 0.050 1
Pr4 0.630 0.468 0.256 1
Pr5 0.646 0.160 0.950 1
Pr6 0.641 0.200 0.548 1
Pr7 0.870 0.968 0.244 1
Pr8 0.370 0.532 0.744 1
Pr9 0.859 0.700 0.952 1
Pr10 0.146 0.340 0.450 1
Pr11 0.141 0.300 0.048 1
Pr12 0.854 0.660 0.550 1
Hg1 0.591 0.887 0.735 1
Hg2 0.091 0.613 0.235 1
Hg3 0.909 0.387 0.765 1
Hg4 0.409 0.113 0.265 1
```

Formation enthalpy at 0 K in eV per atom: -0.383
V in Å³/f.u.: 288


Pr3HgPt2 | PBE | relaxed

Cell and atoms, written as CIF:
```
data_Pr3HgPt2
_cell_length_a 3.985
_cell_length_b 4.665
_cell_length_c 9.087
_cell_angle_alpha 90.00
_cell_angle_beta 102.67
_cell_angle_gamma 90.00
_space_group_name_H-M_alt 'P 1'
_space_group_IT_number 1
loop_
_space_group_symop_operation_xyz
'x,y,z'
loop_
_atom_site_label
_atom_site_fract_x
_atom_site_fract_y
_atom_site_fract_z
_atom_site_occupancy
Pr1 0.339 0.000 0.677 1
Pr2 0.500 0.500 0.000 1
Pr3 0.661 0.000 0.323 1
Pt1 0.870 0.500 0.740 1
Pt2 0.130 0.500 0.260 1
Hg1 0.000 0.000 0.000 1
```

Formation enthalpy at 0 K in eV per atom: -0.646
V in Å³/f.u.: 165


PrHgPt | PBE | relaxed

Cell and atoms, written as CIF:
```
data_PrHgPt
_cell_length_a 3.700
_cell_length_b 4.765
_cell_length_c 4.765
_cell_angle_alpha 120.00
_cell_angle_beta 90.00
_cell_angle_gamma 90.00
_space_group_name_H-M_alt 'P 1'
_space_group_IT_number 1
loop_
_space_group_symop_operation_xyz
'x,y,z'
loop_
_atom_site_label
_atom_site_fract_x
_atom_site_fract_y
_atom_site_fract_z
_atom_site_occupancy
Pr1 0.667 0.667 0.333 1
Pt1 0.167 0.333 0.667 1
Hg1 0.167 0.000 0.000 1
```

Formation enthalpy at 0 K in eV per atom: -0.673
V in Å³/f.u.: 73


Pr5Hg2Pt | PBE | relaxed

Cell and atoms, written as CIF:
```
data_Pr5Hg2Pt
_cell_length_a 5.802
_cell_length_b 5.898
_cell_length_c 16.547
_cell_angle_alpha 90.00
_cell_angle_beta 90.00
_cell_angle_gamma 119.47
_space_group_name_H-M_alt 'P 1'
_space_group_IT_number 1
loop_
_space_group_symop_operation_xyz
'x,y,z'
loop_
_atom_site_label
_atom_site_fract_x
_atom_site_fract_y
_atom_site_fract_z
_atom_site_occupancy
Pt1 0.700 0.399 0.750 1
Pt2 0.300 0.601 0.250 1
Pr1 0.751 0.502 0.250 1
Pr2 0.422 0.843 0.091 1
Pr3 0.578 0.157 0.591 1
Pr4 0.092 0.185 0.376 1
Pr5 0.092 0.185 0.124 1
Pr6 0.249 0.498 0.750 1
Pr7 0.908 0.815 0.624 1
Pr8 0.908 0.815 0.876 1
Pr9 0.578 0.157 0.909 1
Pr10 0.422 0.843 0.409 1
Hg1 0.233 0.465 0.560 1
Hg2 0.767 0.535 0.060 1
Hg3 0.767 0.535 0.440 1
Hg4 0.233 0.465 0.940 1
```

Formation enthalpy at 0 K in eV per atom: -0.361
Distance to the lowest polymorph of the same formula in meV/atom: 153
V in Å³/f.u.: 247


Pr5Hg2Pt | PBE | relaxed

Cell and atoms, written as CIF:
```
data_Pr5Hg2Pt
_cell_length_a 5.049
_cell_length_b 7.452
_cell_length_c 12.809
_cell_angle_alpha 90.00
_cell_angle_beta 90.00
_cell_angle_gamma 90.00
_space_group_name_H-M_alt 'P 1'
_space_group_IT_number 1
loop_
_space_group_symop_operation_xyz
'x,y,z'
loop_
_atom_site_label
_atom_site_fract_x
_atom_site_fract_y
_atom_site_fract_z
_atom_site_occupancy
Pr1 0.500 0.320 0.581 1
Pr2 0.000 0.364 0.289 1
Pr3 0.000 0.864 0.211 1
Pr4 0.000 0.636 0.711 1
Pr5 0.000 0.000 0.500 1
Pr6 0.000 0.500 0.000 1
Pr7 0.500 0.820 0.919 1
Pr8 0.500 0.680 0.419 1
Pr9 0.500 0.180 0.081 1
Pr10 0.000 0.136 0.789 1
Pt1 0.000 0.500 0.500 1
Pt2 0.000 0.000 0.000 1
Hg1 0.500 0.091 0.336 1
Hg2 0.500 0.909 0.664 1
Hg3 0.500 0.409 0.836 1
Hg4 0.500 0.591 0.164 1
```

Formation enthalpy at 0 K in eV per atom: -0.514
Distance to the lowest polymorph of the same formula in meV/atom: 0
V in Å³/f.u.: 241